(1)
Material: Pu2CoSi3
Method: DFT, PBE
State: optimized geometry

Results
**Density of states at the Fermi level**: 3.60 states/eV/atom
**E**: -109.892 eV for the cell shown

Structure (extended XYZ):
```
12
Lattice="0.000 4.021 6.898 3.953 0.000 6.898 3.953 4.021 0.000" Properties=species:S:1:pos:R:3 pbc="T T T"
Pu 5.972 4.021 6.898
Pu 1.976 2.011 3.449
Pu 5.929 6.032 10.347
Pu 1.934 4.021 6.898
Co 3.953 4.021 2.245
Co 3.953 4.021 11.552
Si 3.953 2.001 5.719
Si 3.953 4.021 4.526
Si 3.953 2.001 8.077
Si 3.953 6.041 5.719
Si 3.953 4.021 9.271
Si 3.953 6.041 8.077
```

(2)
Material: Pu2Co12Si7
Method: DFT, PBE
State: optimized geometry

Results
**Density of states at the Fermi level**: 1.62 states/eV/atom
**E**: -162.383 eV for the cell shown

Structure (extended XYZ):
```
21
Lattice="9.129 0.000 0.000 -4.565 7.906 0.000 0.000 0.000 3.657" Properties=species:S:1:pos:R:3 pbc="T T T"
Pu 0.000 0.000 0.000
Pu 0.000 5.271 1.829
Co -3.080 6.118 1.829
Co -0.872 3.056 0.000
Co 0.806 2.180 1.829
Co -1.482 7.133 0.000
Co 3.062 1.834 0.000
Co 4.474 0.442 1.829
Co 2.711 3.810 1.829
Co 2.354 5.623 0.000
Co 2.273 7.514 1.829
Co 6.010 1.735 0.000
Co 4.622 4.337 0.000
Co 6.509 3.654 1.829
Si -2.279 4.963 0.000
Si 2.255 0.401 1.829
Si 1.406 3.451 0.000
Si 0.873 7.398 0.000
Si 4.565 2.635 1.829
Si 3.785 5.753 1.829
Si 7.654 1.752 1.829
```

Number 1: V 18.273 Å³ per atom. Number 2: V 12.569 Å³ per atom.